Ba2Np3NiO12 | GGA+U | optimized geometry

```
Ba2Np3NiO12
1.0
7.363 -0.314 -0.223
3.363 6.558 -0.223
3.363 1.957 6.263
O Ni Ba Np
12 1 2 3
Cartesian
6.754 6.813 1.779
5.490 0.347 0.246
3.013 4.602 0.246
7.335 1.387 4.038
11.076 3.598 5.571
4.829 5.693 4.038
11.076 6.447 1.555
8.599 7.854 5.571
6.754 3.931 5.842
9.260 2.508 1.779
7.335 4.269 -0.025
3.013 1.754 4.262
0.000 0.000 0.000
4.705 2.739 1.943
9.383 5.462 3.874
3.681 -0.157 -0.111
1.681 0.979 3.131
1.681 3.279 -0.111
```

Values from the calculation:
Crystal system   trigonal
Calculated total energy   -8.43 eV/atom